[1]
# HgMo2W

Crystalline HgMo2W at its relaxed geometry (PBE-GGA, Alexandria).

a b c (Å): 5.336 5.336 4.523
angles (deg): 65.02 65.02 36.11
Atoms (fractional coordinates):
W (0.481, 0.481, 0.519)
Mo (0.018, 0.018, 0.982)
Mo (0.752, 0.752, 0.748)
Hg (0.249, 0.249, 0.251)

- density (Mg/m³) = 14.08
- final energy (hartree per atom) = -0.30283
- magnetization (μB per cell) = 0.00
- crystal system = monoclinic
- volume (Å³/atom) = 17.00
- calculated formation energy (eV/f.u.) = 1.96
- space-group type = Cm (8)



[2]
# AsBr2

Crystalline AsBr2 at its relaxed geometry (PBE-GGA, Alexandria).

a b c (Å): 6.049 6.049 6.049
angles (deg): 146.25 100.91 88.81
Atoms (fractional coordinates):
Br (0.717, 0.717, 0.000)
Br (0.283, 0.283, 0.000)
As (0.000, 0.000, 0.000)

- density (Mg/m³) = 3.33
- final energy (hartree per atom) = -0.08867
- magnetization (μB per cell) = 0.00
- crystal system = orthorhombic
- volume (Å³/atom) = 38.97
- space-group type = Immm (71)
- raw formation energy (kcal/mol of atoms) = 5.82



[3]
# YHg2IrPb

Crystalline YHg2IrPb at its relaxed geometry (PBE-GGA, Alexandria).

a b c (Å): 5.281 5.183 5.281
angles (deg): 90.00 90.00 90.00
Atoms (fractional coordinates):
Hg (0.000, 0.000, 0.500)
Ir (0.000, 0.000, 0.000)
Hg (0.500, 0.000, 0.000)
Pb (0.500, 0.500, 0.500)
Y (0.000, 0.500, 0.000)

- density (Mg/m³) = 10.22
- final energy (hartree per atom) = -0.14344
- magnetization (μB per cell) = 0.00
- crystal system = tetragonal
- volume (Å³/atom) = 28.91
- calculated formation energy (eV/f.u.) = 0.12
- space-group type = P4/mmm (123)



[4]
# LaMnCr2Sb

Crystalline LaMnCr2Sb at its relaxed geometry (PBE-GGA, Alexandria).

a b c (Å): 4.533 5.990 4.533
angles (deg): 90.00 90.00 90.00
Atoms (fractional coordinates):
La (0.000, 0.000, 0.000)
Cr (0.500, 0.000, 0.000)
Cr (0.000, 0.000, 0.500)
Mn (0.500, 0.500, 0.500)
Sb (0.000, 0.500, 0.000)

- density (Mg/m³) = 5.66
- final energy (hartree per atom) = -0.20365
- magnetization (μB per cell) = 4.90
- crystal system = tetragonal
- volume (Å³/atom) = 24.61
- space-group type = P4/mmm (123)
- raw formation energy (kcal/mol of atoms) = 45.01



[5]
# SrBeH2

Crystalline SrBeH2 at its relaxed geometry (PBE-GGA, Alexandria).

a b c (Å): 4.218 4.218 4.218
angles (deg): 60.00 60.00 60.00
Atoms (fractional coordinates):
Be (0.000, 0.000, 0.000)
Sr (0.500, 0.500, 0.500)
H (0.750, 0.750, 0.750)
H (0.250, 0.250, 0.250)

- density (Mg/m³) = 3.09
- final energy (hartree per atom) = -0.10019
- magnetization (μB per cell) = 0.00
- crystal system = cubic
- volume (Å³/atom) = 13.26
- space-group type = Fm-3m (225)



[6]
# La2Pm3Sm6Tm

Crystalline La2Pm3Sm6Tm at its relaxed geometry (PBE-GGA, Alexandria).

a b c (Å): 6.311 6.311 12.096
angles (deg): 95.01 95.01 119.98
Atoms (fractional coordinates):
Pm (0.834, 0.166, 0.500)
Sm (0.248, 0.248, 0.749)
La (0.667, 0.333, 0.000)
Sm (0.415, 0.084, 0.251)
Pm (0.166, 0.834, 0.500)
Sm (0.916, 0.585, 0.749)
Sm (0.585, 0.916, 0.749)
Sm (0.752, 0.752, 0.251)
Tm (0.000, 0.000, 0.000)
La (0.333, 0.667, 0.000)
Sm (0.084, 0.415, 0.251)
Pm (0.500, 0.500, 0.500)

- density (Mg/m³) = 7.21
- final energy (hartree per atom) = -0.17360
- magnetization (μB per cell) = 0.00
- crystal system = monoclinic
- volume (Å³/atom) = 34.24
- calculated formation energy (eV/f.u.) = 0.21
- space-group type = C2/m (12)



[7]
# ErMnH3

Crystalline ErMnH3 at its relaxed geometry (PBE-GGA, Alexandria).

a b c (Å): 3.524 3.524 3.524
angles (deg): 90.00 90.00 90.00
Atoms (fractional coordinates):
Mn (0.000, 0.000, 0.000)
H (0.500, 0.000, 0.000)
H (0.000, 0.500, 0.000)
H (0.000, 0.000, 0.500)
Er (0.500, 0.500, 0.500)

- density (Mg/m³) = 8.54
- final energy (hartree per atom) = -0.18832
- magnetization (μB per cell) = 1.78
- crystal system = cubic
- volume (Å³/atom) = 8.76
- space-group type = Pm-3m (221)



[8]
# LaZrRu2

Crystalline LaZrRu2 at its relaxed geometry (PBE-GGA, Alexandria).

a b c (Å): 4.396 4.396 6.420
angles (deg): 79.28 79.28 44.24
Atoms (fractional coordinates):
Ru (0.006, 0.006, 0.949)
Zr (0.750, 0.750, 0.750)
La (0.250, 0.250, 0.250)
Ru (0.494, 0.494, 0.551)

- density (Mg/m³) = 8.47
- final energy (hartree per atom) = -0.29486
- magnetization (μB per cell) = 0.00
- crystal system = monoclinic
- volume (Å³/atom) = 21.19
- calculated formation energy (eV/f.u.) = -0.07
- space-group type = C2/m (12)